Density functional theory data (PBE) for an optimized crystal structure of SrCd4Ni.

Unit cell a=4.937 b=4.937 c=7.651 alpha=90.00 beta=90.18 gamma=90.00
Space group P2/m (No. 10)
One atom of each set of equivalent atoms:
Sr (0.000, 0.000, 0.000) x1
Cd (0.000, 0.500, 0.500) x1
Cd (0.500, 0.000, 0.500) x1
Cd (0.500, 0.500, 0.180) x2
Ni (0.500, 0.500, 0.500) x1

Properties
The calculation puts the raw total energy at -10.9 eV/cell. Its formation energy is 21 kJ/mol of formula units. The total magnetic moment comes out at 0.00 μB/f.u.

Density functional theory data (PBE) for an optimized crystal structure of Cr3SnCl.

Unit cell a=5.222 b=5.222 c=5.222 alpha=90.00 beta=90.00 gamma=90.00
Space group Pm-3m (No. 221)
One atom of each set of equivalent atoms:
Cr (0.000, 0.000, 0.500) x3
Sn (0.000, 0.000, 0.000) x1
Cl (0.500, 0.500, 0.500) x1

Properties
The calculation puts the raw total energy at -29.6 eV/cell. The calculation puts the uncorrected formation energy at 1022 meV/atom. The total magnetic moment comes out at 13.00 μB/f.u.

Density functional theory data (PBE) for an optimized crystal structure of CsNiSb3.

Unit cell a=6.099 b=6.099 c=6.099 alpha=90.00 beta=90.00 gamma=90.00
Space group Pm-3m (No. 221)
One atom of each set of equivalent atoms:
Cs (0.000, 0.000, 0.000) x1
Ni (0.500, 0.500, 0.500) x1
Sb (0.000, 0.000, 0.500) x3

Properties
The calculation puts the raw total energy at -8.4 eV/cell. The calculation puts the uncorrected formation energy at 2112 meV/atom. The total magnetic moment comes out at 0.00 μB/f.u.

Density functional theory data (PBE) for an optimized crystal structure of Hf2PAu.

Unit cell a=3.5779 b=3.5779 c=21.1485 alpha=90.00 beta=90.00 gamma=120.00
Space group R-3m (No. 166, hexagonal axes)
One atom of each set of equivalent atoms:
Hf (0.0000, 0.0000, 0.2374) x6
P (0.0000, 0.0000, 0.5000) x3
Au (0.0000, 0.0000, 0.0000) x3

Properties
The calculation puts the raw total energy at -95.8 eV/cell. Its formation energy is -324 kJ/mol of formula units. The total magnetic moment comes out at 0.00 μB/f.u.

Density functional theory data (PBE) for an optimized crystal structure of PrDy3Ho.

Unit cell a=3.641 b=16.704 c=11.637 alpha=90.00 beta=90.00 gamma=90.00
Space group Cmcm (No. 63)
One atom of each set of equivalent atoms:
Pr (0.000, 0.194, 0.250) x4
Dy (0.000, 0.142, 0.750) x4
Dy (0.000, 0.347, 0.002) x8
Ho (0.000, 0.480, 0.750) x4

Properties
The calculation puts the raw total energy at -86.0 eV/cell. Its formation energy is 162 kJ/mol of formula units. The total magnetic moment comes out at 0.00 μB/f.u.

Density functional theory data (PBE) for an optimized crystal structure of MnAlTc2.

Unit cell a=3.155 b=4.305 c=8.255 alpha=90.00 beta=90.00 gamma=90.00
Space group Cmm2 (No. 35)
One atom of each set of equivalent atoms:
Mn (0.000, 0.000, 0.000) x2
Al (0.000, 0.500, 0.242) x2
Tc (0.000, 0.000, 0.498) x2
Tc (0.000, 0.500, 0.762) x2

Properties
The calculation puts the raw total energy at -67.1 eV/cell. Its formation energy is 10 kJ/mol of formula units. The total magnetic moment comes out at 2.03 μB/f.u.

Density functional theory data (PBE) for an optimized crystal structure of Sm3HoHg4.

Unit cell a=3.786 b=7.599 c=16.295 alpha=90.00 beta=90.00 gamma=90.00
Space group Immm (No. 71)
One atom of each set of equivalent atoms:
Sm (0.000, 0.000, 0.000) x2
Sm (0.000, 0.500, 0.202) x4
Ho (0.000, 0.000, 0.500) x2
Hg (0.000, 0.295, 0.371) x8

Properties
The calculation puts the raw total energy at -45.2 eV/cell. Its formation energy is -254 kJ/mol of formula units. The total magnetic moment comes out at 0.00 μB/f.u.

Density functional theory data (PBE) for an optimized crystal structure of LaNi2Pt.

Unit cell a=6.579 b=6.579 c=6.579 alpha=90.00 beta=90.00 gamma=90.00
Space group F-43m (No. 216)
One atom of each set of equivalent atoms:
La (0.000, 0.000, 0.000) x4
Ni (0.000, 0.000, 0.500) x4
Ni (0.250, 0.250, 0.750) x4
Pt (0.250, 0.250, 0.250) x4

Properties
The calculation puts the raw total energy at -92.6 eV/cell. Its formation energy is -60 kJ/mol of formula units. The total magnetic moment comes out at 0.00 μB/f.u.

Density functional theory data (PBE) for an optimized crystal structure of MnP2W.

Unit cell a=5.841 b=5.841 c=5.841 alpha=90.00 beta=90.00 gamma=90.00
Space group Fm-3m (No. 225)
One atom of each set of equivalent atoms:
Mn (0.000, 0.000, 0.000) x4
P (0.250, 0.250, 0.250) x8
W (0.000, 0.000, 0.500) x4

Properties
The calculation puts the raw total energy at -133.9 eV/cell. Its formation energy is -51 kJ/mol of formula units. The total magnetic moment comes out at 0.00 μB/f.u.

Density functional theory data (PBE) for an optimized crystal structure of PmPr2N2.

Unit cell a=11.694 b=5.261 c=7.419 alpha=90.00 beta=110.42 gamma=90.00
Space group C2/m (No. 12)
One atom of each set of equivalent atoms:
Pm (0.156, 0.000, 0.096) x4
Pr (0.008, 0.500, 0.735) x4
Pr (0.164, 0.000, 0.575) x4
N (0.004, 0.000, 0.244) x4
N (0.167, 0.500, 0.587) x4

Properties
The calculation puts the raw total energy at -144.6 eV/cell. The calculation puts the uncorrected formation energy at -1037 meV/atom. The total magnetic moment comes out at 0.00 μB/f.u.

Density functional theory data (PBE) for an optimized crystal structure of SrLi4Ru.

Unit cell a=7.627 b=7.627 c=7.627 alpha=90.00 beta=90.00 gamma=90.00
Space group F-43m (No. 216)
One atom of each set of equivalent atoms:
Sr (0.000, 0.000, 0.000) x4
Li (0.120, 0.120, 0.620) x16
Ru (0.250, 0.250, 0.250) x4

Properties
The calculation puts the raw total energy at -67.5 eV/cell. Its formation energy is 167 kJ/mol of formula units. The total magnetic moment comes out at 0.00 μB/f.u.

Density functional theory data (PBE) for an optimized crystal structure of Ca4Sn3Hg.

Unit cell a=4.426 b=4.703 c=11.681 alpha=90.00 beta=90.00 gamma=90.00
Space group Pmm2 (No. 25)
One atom of each set of equivalent atoms:
Ca (0.000, 0.000, 0.000) x1
Ca (0.000, 0.500, 0.496) x1
Ca (0.500, 0.000, 0.269) x1
Ca (0.500, 0.500, 0.771) x1
Sn (0.000, 0.000, 0.717) x1
Sn (0.000, 0.500, 0.217) x1
Sn (0.500, 0.000, 0.552) x1
Hg (0.500, 0.500, 0.041) x1

Properties
The calculation puts the raw total energy at -25.2 eV/cell. Its formation energy is -471 kJ/mol of formula units. The total magnetic moment comes out at 0.00 μB/f.u.

Density functional theory data (PBE) for an optimized crystal structure of SnAu3.

Unit cell a=3.462 b=10.971 c=8.701 alpha=90.00 beta=90.00 gamma=90.00
Space group Cmcm (No. 63)
One atom of each set of equivalent atoms:
Sn (0.000, 0.057, 0.250) x4
Au (0.000, 0.195, 0.750) x4
Au (0.000, 0.368, 0.502) x8

Properties
The calculation puts the raw total energy at -56.1 eV/cell. Its formation energy is -18 kJ/mol of formula units. The total magnetic moment comes out at 0.00 μB/f.u.

Density functional theory data (PBE) for an optimized crystal structure of Ac2Ga3Sn4.

Unit cell a=6.641 b=16.464 c=8.919 alpha=90.00 beta=90.00 gamma=90.00
Space group Cmce (No. 64)
One atom of each set of equivalent atoms:
Ac (0.000, 0.118, 0.083) x8
Ga (0.000, 0.000, 0.500) x4
Ga (0.250, 0.220, 0.750) x8
Sn (0.000, 0.184, 0.455) x8
Sn (0.250, 0.050, 0.750) x8

Properties
The calculation puts the raw total energy at -148.1 eV/cell. Its formation energy is -359 kJ/mol of formula units. The total magnetic moment comes out at 0.00 μB/f.u.

Density functional theory data (PBE) for an optimized crystal structure of CeHgPdRh.

Unit cell a=6.809 b=6.809 c=6.809 alpha=90.00 beta=90.00 gamma=90.00
Space group F-43m (No. 216)
One atom of each set of equivalent atoms:
Ce (0.000, 0.000, 0.000) x4
Hg (0.000, 0.000, 0.500) x4
Pd (0.250, 0.250, 0.750) x4
Rh (0.250, 0.250, 0.250) x4

Properties
The calculation puts the raw total energy at -83.4 eV/cell. Its formation energy is -200 kJ/mol of formula units. The total magnetic moment comes out at 0.48 μB/f.u.